16
Lattice="7.077 0.000 0.000 0.000 14.209 0.000 0.000 0.000 4.781" Properties=species:S:1:pos:R:3 comment="Na2BiPb5 (PBE, relaxed)" dos_ef_per_ev_fu=3.7 formation_energy_mev_per_atom=-130 dft_energy_ev_per_atom=-3.26 mass_density_g_cm3=8.92 pbc="T T T"
Na 1.749 1.750 0.000
Na 1.789 8.854 0.000
Na 5.288 5.354 0.000
Na 5.328 12.459 0.000
Bi 0.000 0.000 2.391
Bi 3.539 7.104 2.391
Pb 0.000 7.104 2.391
Pb 0.023 10.656 2.391
Pb 1.769 5.318 0.000
Pb 1.770 12.422 0.000
Pb 3.516 3.552 2.391
Pb 3.539 0.000 2.391
Pb 3.561 10.657 2.391
Pb 5.307 1.786 0.000
Pb 5.308 8.891 0.000
Pb 7.054 3.553 2.391